Density functional theory data (GGA-PBE) for a relaxed structure of ThPbAu.

- Volume: 81.6 Å³/f.u.
- Formation energy: -42.3 kJ/mol of atoms
- Symmetry: No. 156

Unit cell a=4.737 b=4.737 c=4.197 alpha=90.00 beta=90.00 gamma=120.00
Fractional positions:
1 Th 0.000 0.000 0.000
2 Pb 0.333 0.667 0.552
3 Au 0.667 0.333 0.338

Density functional theory data (GGA-PBE) for a relaxed structure of Ce4SmS5.

- Formation energy from raw total energies: -2.044 eV/atom
- Volume: 229.2 Å³/f.u.
- Symmetry: No. 87

Unit cell a=6.958 b=6.958 c=6.958 alpha=99.59 beta=99.59 gamma=131.81
Fractional positions:
1 Ce 0.100 0.700 0.800
2 Ce 0.300 0.100 0.401
3 Ce 0.700 0.900 0.599
4 Ce 0.900 0.300 0.200
5 Sm 0.500 0.500 0.000
6 S 0.000 0.000 0.000
7 S 0.201 0.400 0.601
8 S 0.400 0.799 0.199
9 S 0.600 0.201 0.801
10 S 0.799 0.600 0.399

Density functional theory data (GGA-PBE) for a relaxed structure of TaI2NF.

- E above lowest polymorph: 0.00 eV per formula unit
- Formation energy from raw total energies: -0.123 eV/atom
- Volume: 120.5 Å³/f.u.
- Symmetry: No. 123

Unit cell a=5.563 b=5.563 c=3.894 alpha=90.00 beta=90.00 gamma=90.00
Fractional positions:
1 Ta 0.000 0.000 0.000
2 I 0.000 0.500 0.000
3 I 0.500 0.000 0.000
4 N 0.000 0.000 0.500
5 F 0.500 0.500 0.500

- What is the formula in the second record?
  Ce4SmS5

- Number 3 is which compound?
  TaI2NF

Please write out number 1 again, unchanged.
Density functional theory data (GGA-PBE) for a relaxed structure of ThPbAu.

- Volume: 81.6 Å³/f.u.
- Formation energy: -42.3 kJ/mol of atoms
- Symmetry: No. 156

Unit cell a=4.737 b=4.737 c=4.197 alpha=90.00 beta=90.00 gamma=120.00
Fractional positions:
1 Th 0.000 0.000 0.000
2 Pb 0.333 0.667 0.552
3 Au 0.667 0.333 0.338

- The highest volume belongs to which entry?
  Ce4SmS5